Compound: HfAlHg2
Source: Alexandria via LeMat-Bulk
Functional: PBE-GGA
Structure: relaxed

abc: 4.377 4.277 4.277
angles: 90.00 90.00 90.00
Element x y z (fractional)
Hf 0.500 0.500 0.500
Hg 0.000 0.000 0.500
Hg 0.000 0.500 0.000
Al 0.500 0.000 0.000

Properties
The formation energy comes out at -0.238 eV per formula unit.


Compound: Hf6AlHg
Source: Alexandria via LeMat-Bulk
Functional: PBE-GGA
Structure: relaxed

abc: 4.363 4.363 8.748
angles: 90.00 90.00 90.00
Element x y z (fractional)
Hf 0.500 0.500 0.000
Hf 0.500 0.500 0.500
Hf 0.500 0.000 0.256
Hf 0.500 0.000 0.744
Hf 0.000 0.500 0.256
Hf 0.000 0.500 0.744
Al 0.000 0.000 0.500
Hg 0.000 0.000 0.000

Properties
The formation energy comes out at -1.197 eV per formula unit.


Compound: Hf3AlHg
Source: Alexandria via LeMat-Bulk
Functional: PBE-GGA
Structure: relaxed

abc: 4.951 4.951 4.951
angles: 90.00 90.00 90.00
Element x y z (fractional)
Hf 0.000 0.500 0.000
Hf 0.000 0.000 0.500
Hf 0.500 0.000 0.000
Hg 0.500 0.500 0.500
Al 0.000 0.000 0.000

Properties
The formation energy comes out at 3.254 eV per formula unit.


Compound: Hf5AlHg
Source: Alexandria via LeMat-Bulk
Functional: PBE-GGA
Structure: relaxed

abc: 9.525 9.525 10.247
angles: 39.94 39.94 69.77
Element x y z (fractional)
Hf 0.775 0.702 0.135
Hf 0.334 0.822 0.354
Hf 0.702 0.775 0.635
Hf 0.696 0.304 0.250
Hf 0.178 0.666 0.146
Hf 0.822 0.334 0.854
Hf 0.304 0.696 0.750
Hf 0.298 0.225 0.365
Hf 0.666 0.178 0.646
Hf 0.225 0.298 0.865
Al 0.424 0.576 0.250
Al 0.576 0.424 0.750
Hg 0.000 0.000 0.000
Hg 0.000 0.000 0.500

Properties
The formation energy comes out at 0.835 eV per formula unit.